# 1
# KCd PBEsol relaxed
data_KCd
_cell_length_a 3.7882
_cell_length_b 3.7882
_cell_length_c 4.9309
_cell_angle_alpha 90.00
_cell_angle_beta 90.00
_cell_angle_gamma 90.00
_symmetry_space_group_name_H-M 'P 4/m m m'
_symmetry_Int_Tables_number 123
_symmetry_space_group_name_Hall '-P 4 2'
loop_
_atom_site_label
_atom_site_type_symbol
_atom_site_fract_x
_atom_site_fract_y
_atom_site_fract_z
_atom_site_occupancy
K1 K 0.0000 0.0000 0.0000 1
Cd1 Cd 0.5000 0.5000 0.5000 1
# Calculated volume (Å³/atom): 35.38
# Crystal system: tetragonal
# Electronic total energy (eV per cell): -2.2



# 2
# KCd PBEsol relaxed
data_KCd
_cell_length_a 12.6970
_cell_length_b 4.5165
_cell_length_c 7.8915
_cell_angle_alpha 90.00
_cell_angle_beta 107.99
_cell_angle_gamma 90.00
_symmetry_space_group_name_H-M 'C 1 m 1'
_symmetry_Int_Tables_number 8
loop_
_symmetry_equiv_pos_as_xyz
'x,y,z'
'x,-y,z'
'x+1/2,y+1/2,z'
'x+1/2,-y+1/2,z'
loop_
_atom_site_label
_atom_site_type_symbol
_atom_site_fract_x
_atom_site_fract_y
_atom_site_fract_z
_atom_site_occupancy
K1 K 0.0000 0.0000 0.0000 1
K2 K 0.0263 0.0000 0.4588 1
K3 K 0.3175 0.0000 0.6233 1
Cd1 Cd 0.1818 0.5000 0.8559 1
Cd2 Cd 0.2182 0.5000 0.2592 1
Cd3 Cd 0.2915 0.0000 0.0947 1
# Calculated volume (Å³/atom): 35.87
# Crystal system: monoclinic
# Electronic total energy (eV per cell): -13.7



# 3
# K5Cd PBEsol relaxed
data_K5Cd
_cell_length_a 7.5107
_cell_length_b 7.5107
_cell_length_c 6.7009
_cell_angle_alpha 90.00
_cell_angle_beta 90.00
_cell_angle_gamma 120.00
_symmetry_space_group_name_H-M 'P -6 2 m'
_symmetry_Int_Tables_number 189
_symmetry_space_group_name_Hall 'P -6 -2'
loop_
_atom_site_label
_atom_site_type_symbol
_atom_site_fract_x
_atom_site_fract_y
_atom_site_fract_z
_atom_site_occupancy
K1 K 0.0000 0.3024 0.0000 1
K2 K 0.3333 0.6667 0.5000 1
Cd1 Cd 0.0000 0.0000 0.5000 1
# Calculated volume (Å³/atom): 54.56
# Crystal system: hexagonal
# Polymorph energy (0 for the lowest one) (meV per atom): 38



# 4
# K2Cd PBEsol relaxed
data_K2Cd
_cell_length_a 4.8562
_cell_length_b 17.7617
_cell_length_c 6.0573
_cell_angle_alpha 90.00
_cell_angle_beta 90.00
_cell_angle_gamma 90.00
_symmetry_space_group_name_H-M 'C m c m'
_symmetry_Int_Tables_number 63
_symmetry_space_group_name_Hall '-C 2c 2'
loop_
_atom_site_label
_atom_site_type_symbol
_atom_site_fract_x
_atom_site_fract_y
_atom_site_fract_z
_atom_site_occupancy
K1 K 0.0000 0.0634 0.2500 1
K2 K 0.0000 0.2491 0.7500 1
Cd1 Cd 0.0000 0.4022 0.2500 1
# Calculated volume (Å³/atom): 43.54
# Crystal system: orthorhombic
# Polymorph energy (0 for the lowest one) (meV per atom): 49